KScMo | PBEsol | relaxed

a = 2.888 Å, b = 2.888 Å, c = 8.827 Å
α = 99.42°, β = 99.42°, γ = 90.00°
Sites, in units of the cell vectors:
1 K 0.011 0.011 0.022
2 Mo 0.686 0.686 0.371
3 Sc 0.304 0.304 0.607

Calculated values
- ΔE to the lowest computed polymorph (meV/atom) = 0
- E_form (kJ/mol of atoms) = 81.1
- energy (eV per atom) = -5.66